# 1
An optimized crystal structure of Fe5Co2, computed with GGA-PBE.

Cell: 4.0314 4.0314 17.2523 Å, 90.00 90.00 120.00°
Space group R-3m (No. 166, hexagonal axes)
Inequivalent atoms, fractional coordinates:
Fe1 0.0000 0.0000 0.0000 [3 per cell]
Fe2 0.0000 0.0000 0.1437 [6 per cell]
Fe3 0.0000 0.0000 0.4280 [6 per cell]
Co1 0.0000 0.0000 0.2859 [6 per cell]

Results
Spin magnetization: 2.342 μB/atom
Electronic total energy: -170.6 eV for the cell shown
Volume: 243 Å³ per cell
DOS(E_F): 9.85 states/eV per cell
ΔH_f (0 K): -48 meV/atom

# 2
An optimized crystal structure of Fe7Co5, computed with GGA-PBE.

Cell: 4.960 15.192 3.665 Å, 90.00 90.00 90.00°
Space group Cmmm (No. 65)
Inequivalent atoms, fractional coordinates:
Fe1 0.000 0.000 0.000 [2 per cell]
Fe2 0.000 0.175 0.000 [4 per cell]
Fe3 0.248 0.415 0.500 [8 per cell]
Co1 0.000 0.336 0.000 [4 per cell]
Co2 0.000 0.500 0.000 [2 per cell]
Co3 0.250 0.250 0.500 [4 per cell]

Results
Spin magnetization: 2.170 μB/atom
Electronic total energy: -188.2 eV for the cell shown
Volume: 276 Å³ per cell
DOS(E_F): 21.88 states/eV per cell
ΔH_f (0 K): 57 meV/atom

# 3
An optimized crystal structure of FeCo9, computed with GGA-PBE.

Cell: 5.169 5.169 4.853 Å, 90.00 90.00 90.00°
Space group P4/mmm (No. 123)
Inequivalent atoms, fractional coordinates:
Fe1 0.000 0.000 0.000 [1 per cell]
Co1 0.000 0.000 0.500 [1 per cell]
Co2 0.281 0.281 0.250 [8 per cell]

Results
Spin magnetization: 1.780 μB/atom
Electronic total energy: -66.3 eV for the cell shown
Volume: 130 Å³ per cell
DOS(E_F): 10.78 states/eV per cell
ΔH_f (0 K): 609 meV/atom

# 4
An optimized crystal structure of Fe17Co12, computed with GGA-PBE.

Cell: 8.753 8.753 8.753 Å, 90.00 90.00 90.00°
Space group I-43m (No. 217)
Inequivalent atoms, fractional coordinates:
Fe1 0.000 0.000 0.000 [2 per cell]
Fe2 0.041 0.359 0.641 [24 per cell]
Fe3 0.179 0.179 0.179 [8 per cell]
Co1 0.092 0.092 0.718 [24 per cell]

Results
Spin magnetization: 2.173 μB/atom
Electronic total energy: -457.9 eV for the cell shown
Volume: 671 Å³ per cell
DOS(E_F): 44.90 states/eV per cell
ΔH_f (0 K): 7 meV/atom

# 5
An optimized crystal structure of Fe3Co11, computed with GGA-PBE.

Cell: 3.907 8.919 9.328 Å, 90.00 90.00 90.00°
Space group Immm (No. 71)
Inequivalent atoms, fractional coordinates:
Fe1 0.000 0.000 0.000 [2 per cell]
Fe2 0.000 0.000 0.277 [4 per cell]
Co1 0.000 0.144 0.500 [4 per cell]
Co2 0.000 0.274 0.147 [8 per cell]
Co3 0.000 0.375 0.371 [8 per cell]
Co4 0.000 0.500 0.000 [2 per cell]

Results
Spin magnetization: 1.865 μB/atom
Electronic total energy: -202.1 eV for the cell shown
Volume: 325 Å³ per cell
DOS(E_F): 28.06 states/eV per cell
ΔH_f (0 K): 180 meV/atom

# 6
An optimized crystal structure of FeCo7, computed with GGA-PBE.

Cell: 4.007 4.007 11.116 Å, 90.00 90.00 90.00°
Space group I4/mmm (No. 139)
Inequivalent atoms, fractional coordinates:
Fe1 0.000 0.000 0.000 [2 per cell]
Co1 0.000 0.000 0.252 [4 per cell]
Co2 0.000 0.000 0.500 [2 per cell]
Co3 0.000 0.500 0.125 [8 per cell]

Results
Spin magnetization: 1.850 μB/atom
Electronic total energy: -115.4 eV for the cell shown
Volume: 179 Å³ per cell
DOS(E_F): 21.09 states/eV per cell
ΔH_f (0 K): 63 meV/atom

# 7
An optimized crystal structure of Fe5Co3, computed with GGA-PBE.

Cell: 2.842 2.842 11.430 Å, 90.00 90.00 90.00°
Space group P4/mmm (No. 123)
Inequivalent atoms, fractional coordinates:
Fe1 0.000 0.000 0.000 [1 per cell]
Fe2 0.500 0.500 0.126 [2 per cell]
Fe3 0.500 0.500 0.375 [2 per cell]
Co1 0.000 0.000 0.251 [2 per cell]
Co2 0.000 0.000 0.500 [1 per cell]

Results
Spin magnetization: 2.309 μB/atom
Electronic total energy: -64.0 eV for the cell shown
Volume: 92 Å³ per cell
DOS(E_F): 4.63 states/eV per cell
ΔH_f (0 K): -47 meV/atom

# 8
An optimized crystal structure of Fe13Co2, computed with GGA-PBE.

Cell: 4.013 6.351 7.415 Å, 75.05 89.97 71.66°
Space group P-1 (No. 2)
Inequivalent atoms, fractional coordinates:
Fe1 0.000 0.000 0.000 [1 per cell]
Fe2 0.067 0.866 0.399 [2 per cell]
Fe3 0.133 0.734 0.799 [2 per cell]
Fe4 0.267 0.466 0.603 [2 per cell]
Fe5 0.333 0.334 0.000 [2 per cell]
Fe6 0.399 0.202 0.399 [2 per cell]
Fe7 0.467 0.065 0.800 [2 per cell]
Co1 0.200 0.600 0.200 [2 per cell]

Results
Spin magnetization: 2.320 μB/atom
Electronic total energy: -124.5 eV for the cell shown
Volume: 173 Å³ per cell
DOS(E_F): 11.26 states/eV per cell
ΔH_f (0 K): -19 meV/atom

# 9
An optimized crystal structure of Fe2Co5, computed with GGA-PBE.

Cell: 8.949 2.806 6.362 Å, 90.00 98.17 90.00°
Space group C2/m (No. 12)
Inequivalent atoms, fractional coordinates:
Fe1 0.069 0.000 0.216 [4 per cell]
Co1 0.000 0.500 0.500 [2 per cell]
Co2 0.141 0.500 0.933 [4 per cell]
Co3 0.219 0.000 0.646 [4 per cell]

Results
Spin magnetization: 2.005 μB/atom
Electronic total energy: -104.8 eV for the cell shown
Volume: 158 Å³ per cell
DOS(E_F): 12.03 states/eV per cell
ΔH_f (0 K): 8 meV/atom

# 10
An optimized crystal structure of Fe4Co3, computed with GGA-PBE.

Cell: 4.0265 4.0265 17.1453 Å, 90.00 90.00 120.00°
Space group R-3m (No. 166, hexagonal axes)
Inequivalent atoms, fractional coordinates:
Fe1 0.0000 0.0000 0.0721 [6 per cell]
Fe2 0.0000 0.0000 0.3572 [6 per cell]
Co1 0.0000 0.0000 0.2141 [6 per cell]
Co2 0.0000 0.0000 0.5000 [3 per cell]

Results
Spin magnetization: 2.222 μB/atom
Electronic total energy: -165.8 eV for the cell shown
Volume: 241 Å³ per cell
DOS(E_F): 17.50 states/eV per cell
ΔH_f (0 K): -12 meV/atom

# 11
An optimized crystal structure of Fe5Co3, computed with GGA-PBE.

Cell: 4.0241 4.0241 19.7262 Å, 90.00 90.00 120.00°
Space group R-3m (No. 166, hexagonal axes)
Inequivalent atoms, fractional coordinates:
Fe1 0.0000 0.0000 0.0000 [3 per cell]
Fe2 0.0000 0.0000 0.1249 [6 per cell]
Fe3 0.0000 0.0000 0.3750 [6 per cell]
Co1 0.0000 0.0000 0.2496 [6 per cell]
Co2 0.0000 0.0000 0.5000 [3 per cell]

Results
Spin magnetization: 2.303 μB/atom
Electronic total energy: -192.4 eV for the cell shown
Volume: 277 Å³ per cell
DOS(E_F): 7.34 states/eV per cell
ΔH_f (0 K): -61 meV/atom

# 12
An optimized crystal structure of Fe4Co3, computed with GGA-PBE.

Cell: 2.841 2.841 19.991 Å, 90.00 90.00 90.00°
Space group I4/mmm (No. 139)
Inequivalent atoms, fractional coordinates:
Fe1 0.000 0.000 0.071 [4 per cell]
Fe2 0.000 0.000 0.214 [4 per cell]
Co1 0.000 0.000 0.358 [4 per cell]
Co2 0.000 0.000 0.500 [2 per cell]

Results
Spin magnetization: 2.286 μB/atom
Electronic total energy: -111.0 eV for the cell shown
Volume: 161 Å³ per cell
DOS(E_F): 9.66 states/eV per cell
ΔH_f (0 K): -50 meV/atom

- Which value of ΔH_f (0 K) does entry 1 give?
  -48 meV/atom

- electronic total energy of number 6 (FeCo7)?
  -115.4 eV for the cell shown